No. 1
DFT (PBE-GGA) results for an optimized crystal structure of Sr4Tl3Hg.

Output
- uncorrected energy (eV for the cell shown) = -17.8
- calculated volume (Å³/cell) = 270

extended XYZ file:
```
8
Lattice="8.649 -2.878 0.000 8.649 2.878 0.000 -1.907 0.000 5.431" Properties=species:S:1:pos:R:3 pbc="T T T"
Sr 1.896 0.000 0.668
Sr 5.800 0.000 2.047
Sr 9.592 0.000 3.384
Sr 13.496 0.000 4.763
Tl -0.954 0.000 2.715
Tl 2.879 0.000 4.068
Tl 12.513 0.000 1.363
Hg 8.649 0.000 0.000
```


No. 2
DFT (PBE-GGA) results for an optimized crystal structure of PrNdCoBr.

Output
- ΔE_f (raw) (eV/atom) = -0.70
- calculated volume (Å³/cell) = 109

extended XYZ file:
```
4
Lattice="1.998 1.154 7.912 -1.998 1.154 7.912 0.000 -2.307 7.912" Properties=species:S:1:pos:R:3 pbc="T T T"
Pr 0.000 0.000 0.000
Nd 0.000 0.000 18.861
Co 0.000 0.000 9.443
Br 0.000 0.000 5.418
```


No. 3
DFT (PBE-GGA) results for an optimized crystal structure of MgNb2ReHg.

Output
- uncorrected energy (eV for the cell shown) = -29.5
- calculated volume (Å³/cell) = 120

extended XYZ file:
```
5
Lattice="4.851 0.000 0.000 0.000 4.851 0.000 0.000 0.000 5.089" Properties=species:S:1:pos:R:3 pbc="T T T"
Mg 0.000 0.000 0.000
Nb 0.000 2.425 2.544
Nb 2.425 0.000 2.544
Re 0.000 0.000 2.544
Hg 2.425 2.425 0.000
```


No. 4
DFT (PBE-GGA) results for an optimized crystal structure of Pm3DyIn3.

Output
- uncorrected energy (eV for the cell shown) = -117.6
- calculated volume (Å³/cell) = 853

extended XYZ file:
```
28
Lattice="9.483 0.000 0.000 0.000 9.483 0.000 0.000 0.000 9.483" Properties=species:S:1:pos:R:3 pbc="T T T"
Pm 0.669 4.073 5.411
Pm 1.633 7.851 3.109
Pm 1.665 1.665 1.665
Pm 3.077 7.818 6.406
Pm 3.109 1.633 7.851
Pm 4.073 5.411 0.669
Pm 5.411 0.669 4.073
Pm 6.374 6.374 6.374
Pm 6.406 3.077 7.818
Pm 7.818 6.406 3.077
Pm 7.851 3.109 1.633
Pm 8.814 8.814 8.814
Dy 0.723 5.464 8.761
Dy 4.019 4.019 4.019
Dy 5.464 8.761 0.723
Dy 8.761 0.723 5.464
In 0.022 2.412 8.246
In 1.237 4.763 2.329
In 2.329 1.237 4.763
In 2.412 8.246 0.022
In 3.504 4.720 7.071
In 4.720 7.071 3.504
In 4.763 2.329 1.237
In 5.979 9.462 7.154
In 7.071 3.504 4.720
In 7.154 5.979 9.462
In 8.246 0.022 2.412
In 9.462 7.154 5.979
```


No. 5
DFT (PBE-GGA) results for an optimized crystal structure of HgPb2Cl.

Output
- ΔE_f (raw) (eV/atom) = -0.20
- calculated volume (Å³/cell) = 116

extended XYZ file:
```
4
Lattice="1.876 -2.933 0.000 1.876 2.933 0.000 0.000 0.000 10.545" Properties=species:S:1:pos:R:3 pbc="T T T"
Hg 0.000 0.000 0.000
Pb 0.000 0.000 5.845
Pb 1.876 0.000 2.757
Cl 1.876 0.000 8.068
```


No. 6
DFT (PBE-GGA) results for an optimized crystal structure of Ta2SbP.

Output
- ΔE_f (raw) (eV/atom) = 0.31
- calculated volume (Å³/cell) = 73

extended XYZ file:
```
4
Lattice="0.000 3.314 3.314 3.314 0.000 3.314 3.314 3.314 0.000" Properties=species:S:1:pos:R:3 pbc="T T T"
Ta 0.000 0.000 0.000
Ta 1.657 1.657 1.657
Sb 4.971 4.971 4.971
P 3.314 3.314 3.314
```


No. 7
DFT (PBE-GGA) results for an optimized crystal structure of YTmZn2Ga2.

Output
- uncorrected energy (eV for the cell shown) = -22.9
- calculated volume (Å³/cell) = 120

extended XYZ file:
```
6
Lattice="4.401 0.000 0.000 -2.200 3.811 0.000 0.000 0.000 7.145" Properties=species:S:1:pos:R:3 pbc="T T T"
Y 0.000 0.000 0.000
Tm 0.000 0.000 3.573
Zn 0.000 2.541 5.276
Zn 2.200 1.270 1.870
Ga 0.000 2.541 1.846
Ga 2.200 1.270 5.300
```


No. 8
DFT (PBE-GGA) results for an optimized crystal structure of LiCePuNi.

Output
- uncorrected energy (eV for the cell shown) = -28.2
- calculated volume (Å³/cell) = 72

extended XYZ file:
```
4
Lattice="0.000 3.299 3.299 3.299 0.000 3.299 3.299 3.299 0.000" Properties=species:S:1:pos:R:3 pbc="T T T"
Li 0.000 0.000 0.000
Ce 1.650 1.650 1.650
Pu 3.299 3.299 3.299
Ni 4.949 4.949 4.949
```


No. 9
DFT (PBE-GGA) results for an optimized crystal structure of GeSeN3.

Output
- ΔE_f (raw) (eV/atom) = 1.81
- calculated volume (Å³/cell) = 54

extended XYZ file:
```
5
Lattice="3.777 0.000 0.000 0.000 3.777 0.000 0.000 0.000 3.777" Properties=species:S:1:pos:R:3 pbc="T T T"
Ge 0.000 0.000 0.000
Se 1.888 1.888 1.888
N 0.000 1.888 1.888
N 1.888 0.000 1.888
N 1.888 1.888 0.000
```


No. 10
DFT (PBE-GGA) results for an optimized crystal structure of Ac2ErSb2Te2.

Output
- ΔE_f (raw) (eV/atom) = -0.98
- calculated volume (Å³/cell) = 268

extended XYZ file:
```
7
Lattice="-2.835 2.835 8.344 2.835 -2.835 8.344 2.835 2.835 -8.344" Properties=species:S:1:pos:R:3 pbc="T T T"
Ac 0.000 0.000 2.089
Ac 0.000 0.000 14.599
Er 0.000 0.000 8.344
Sb 2.835 0.000 0.000
Sb 0.000 2.835 0.000
Te 0.000 0.000 5.300
Te 0.000 0.000 11.387
```


No. 11
DFT (PBE-GGA) results for an optimized crystal structure of Ac4Hg2Au.

Output
- uncorrected energy (eV for the cell shown) = -22.1
- calculated volume (Å³/cell) = 287

extended XYZ file:
```
7
Lattice="-2.983 2.983 8.056 2.983 -2.983 8.056 2.983 2.983 -8.056" Properties=species:S:1:pos:R:3 pbc="T T T"
Ac 2.983 0.000 0.000
Ac 0.000 0.000 3.161
Ac 0.000 2.983 0.000
Ac 0.000 0.000 12.951
Hg 0.000 0.000 6.351
Hg 0.000 0.000 9.762
Au 0.000 0.000 0.000
```


No. 12
DFT (PBE-GGA) results for an optimized crystal structure of ErAl4Mo2.

Output
- uncorrected energy (eV for the cell shown) = -43.9
- calculated volume (Å³/cell) = 121

extended XYZ file:
```
7
Lattice="-3.357 3.357 2.679 3.357 -3.357 2.679 3.357 3.357 -2.679" Properties=species:S:1:pos:R:3 pbc="T T T"
Er 0.000 0.000 0.000
Al 2.052 2.052 0.000
Al 1.304 -1.304 2.679
Al -1.304 1.304 2.679
Al 1.304 1.304 2.679
Mo 3.357 0.000 1.339
Mo 0.000 3.357 1.339
```


No. 13
DFT (PBE-GGA) results for an optimized crystal structure of Nd2Ti12Cu9O36.

Output
- ΔE_f (raw) (eV/atom) = -2.28
- calculated volume (Å³/cell) = 624

extended XYZ file:
```
59
Lattice="10.546 0.000 0.000 -5.273 9.133 0.000 0.000 0.000 6.481" Properties=species:S:1:pos:R:3 pbc="T T T"
Nd 0.000 6.089 1.110
Nd 5.273 3.044 5.370
Ti 0.000 0.000 0.000
Ti -2.637 4.567 0.000
Ti -0.021 2.898 2.189
Ti -2.753 7.703 2.189
Ti 2.499 1.467 4.292
Ti 0.000 6.089 4.276
Ti 5.273 0.000 0.000
Ti 2.637 4.567 0.000
Ti 5.273 3.044 2.205
Ti 2.774 7.666 2.189
Ti 8.026 1.430 4.292
Ti 5.294 6.236 4.292
Cu -2.637 4.567 3.240
Cu 0.000 3.075 5.437
Cu -2.611 7.596 5.437
Cu 2.663 1.537 1.044
Cu 5.273 0.000 3.240
Cu 2.637 4.567 3.240
Cu 2.610 7.596 5.437
Cu 7.884 1.537 1.044
Cu 5.273 6.059 1.044
O -0.694 1.500 1.101
O -0.948 2.451 3.817
O -1.590 4.089 1.621
O -2.508 6.460 0.569
O -3.628 8.984 1.101
O 0.952 1.350 5.380
O -0.927 4.806 5.525
O -1.582 6.247 3.157
O -2.677 8.729 3.817
O 1.648 2.046 2.663
O 0.932 3.731 0.569
O 0.655 4.640 3.157
O -0.648 7.533 5.525
O -0.937 8.465 1.621
O 3.698 1.058 5.912
O 2.747 3.421 4.860
O 1.574 5.928 5.525
O 0.928 7.381 3.157
O 4.345 1.753 3.324
O 3.699 3.206 0.955
O 2.527 5.712 1.621
O 1.575 8.075 0.569
O 6.210 0.668 4.860
O 5.921 1.600 0.955
O 4.619 4.494 3.324
O 4.341 5.402 5.912
O 3.625 7.087 3.817
O 7.950 0.405 2.663
O 6.856 2.887 3.324
O 6.200 4.327 0.955
O 4.321 7.783 1.101
O 8.901 0.149 5.380
O 7.781 2.673 5.912
O 6.863 5.044 4.860
O 6.221 6.683 2.663
O 5.967 7.634 5.380
```


No. 14
DFT (PBE-GGA) results for an optimized crystal structure of TiCd2Au.

Output
- uncorrected energy (eV for the cell shown) = -12.9
- calculated volume (Å³/cell) = 78

extended XYZ file:
```
4
Lattice="1.517 0.876 9.727 -1.517 0.876 9.727 0.000 -1.752 9.727" Properties=species:S:1:pos:R:3 pbc="T T T"
Ti 0.000 0.000 0.000
Cd 0.000 0.000 7.286
Cd 0.000 0.000 12.167
Au 0.000 0.000 24.309
```


No. 15
DFT (PBE-GGA) results for an optimized crystal structure of BaCoRu3.

Output
- uncorrected energy (eV for the cell shown) = -21.6
- calculated volume (Å³/cell) = 124

extended XYZ file:
```
5
Lattice="4.982 0.000 0.000 0.000 4.982 0.000 0.000 0.000 4.982" Properties=species:S:1:pos:R:3 pbc="T T T"
Ba 0.000 0.000 0.000
Co 2.491 2.491 2.491
Ru 0.000 0.000 2.491
Ru 0.000 2.491 0.000
Ru 2.491 0.000 0.000
```


No. 16
DFT (PBE-GGA) results for an optimized crystal structure of LaGa2SiNi2.

Output
- ΔE_f (raw) (eV/atom) = -0.44
- calculated volume (Å³/cell) = 107

extended XYZ file:
```
6
Lattice="4.332 0.000 0.000 0.000 4.332 0.000 0.000 0.000 5.704" Properties=species:S:1:pos:R:3 pbc="T T T"
La 0.000 0.000 0.000
Ga 2.166 2.166 1.399
Ga 2.166 2.166 4.304
Si 0.000 0.000 2.852
Ni 0.000 2.166 2.852
Ni 2.166 0.000 2.852
```


No. 17
DFT (PBE-GGA) results for an optimized crystal structure of InC2Cl.

Output
- ΔE_f (raw) (eV/atom) = 2.21
- calculated volume (Å³/cell) = 136

extended XYZ file:
```
8
Lattice="-2.445 2.445 5.684 2.445 -2.445 5.684 2.445 2.445 -5.684" Properties=species:S:1:pos:R:3 pbc="T T T"
In 0.000 0.000 0.000
In 0.000 2.445 2.842
C 1.222 -1.172 4.263
C 1.273 1.222 1.421
C 1.222 3.616 -1.421
C 1.172 1.222 7.105
Cl 2.445 0.000 2.842
Cl 0.000 0.000 5.684
```


No. 18
DFT (PBE-GGA) results for an optimized crystal structure of EuAl2Cl8.

Output
- ΔE_f (raw) (eV/atom) = -1.79
- calculated volume (Å³/cell) = 701

extended XYZ file:
```
22
Lattice="7.851 0.000 0.000 0.000 7.053 0.000 -1.105 0.000 12.668" Properties=species:S:1:pos:R:3 pbc="T T T"
Eu -0.276 1.062 3.167
Eu -0.828 5.991 9.501
Al 0.365 1.869 11.704
Al 0.918 5.184 5.370
Al 5.829 1.869 7.299
Al 6.381 5.184 0.964
Cl 0.015 1.298 7.745
Cl 0.567 5.755 1.410
Cl 1.417 3.283 4.469
Cl 0.865 3.770 10.803
Cl 1.779 2.077 1.168
Cl 1.227 4.976 7.502
Cl 1.554 0.259 10.883
Cl 2.107 6.794 4.549
Cl 4.640 0.259 8.120
Cl 5.192 6.794 1.786
Cl 5.519 2.077 5.167
Cl 4.967 4.976 11.501
Cl 5.881 3.283 1.865
Cl 5.329 3.770 8.199
Cl 6.179 1.298 11.258
Cl 6.732 5.755 4.924
```


No. 19
DFT (PBE-GGA) results for an optimized crystal structure of CsSn2Te4.

Output
- ΔE_f (raw) (eV/atom) = -0.39
- calculated volume (Å³/cell) = 562

extended XYZ file:
```
14
Lattice="7.735 0.000 0.000 -1.134 8.324 0.000 -3.295 -4.155 8.733" Properties=species:S:1:pos:R:3 pbc="T T T"
Cs 0.000 0.000 0.000
Cs -0.569 4.174 4.404
Sn -2.413 0.598 6.570
Sn 1.455 0.597 6.564
Sn 4.011 5.318 1.761
Sn 4.578 1.161 2.643
Te -0.568 0.188 4.194
Te -0.555 -1.588 7.473
Te 2.287 2.875 1.484
Te -0.383 2.584 8.198
Te 2.855 -1.283 2.921
Te 3.315 -1.589 5.662
Te 3.474 2.586 4.936
Te 6.590 4.332 0.208
```


No. 20
DFT (PBE-GGA) results for an optimized crystal structure of KNd2Te4Au.

Output
- ΔE_f (raw) (eV/atom) = -1.17
- calculated volume (Å³/cell) = 551

extended XYZ file:
```
16
Lattice="2.258 -7.674 0.000 2.258 7.674 0.000 0.000 0.000 15.913" Properties=species:S:1:pos:R:3 pbc="T T T"
K 2.258 5.748 11.935
K 2.258 -5.748 3.978
Nd 2.258 2.037 9.085
Nd 2.258 2.037 14.784
Nd 2.258 -2.037 1.129
Nd 2.258 -2.037 6.827
Te 0.000 0.000 0.000
Te 0.000 0.000 7.956
Te 2.258 3.536 1.777
Te 2.258 3.536 6.179
Te 2.258 0.715 11.935
Te 2.258 -0.715 3.978
Te 2.258 -3.536 9.733
Te 2.258 -3.536 14.136
Au 2.258 5.333 3.978
Au 2.258 -5.333 11.935
```


No. 21
DFT (PBE-GGA) results for an optimized crystal structure of Y2NiPd.

Output
- uncorrected energy (eV for the cell shown) = -26.3
- calculated volume (Å³/cell) = 83

extended XYZ file:
```
4
Lattice="3.452 0.000 0.000 0.000 3.452 0.000 0.000 0.000 6.951" Properties=species:S:1:pos:R:3 pbc="T T T"
Y 0.000 0.000 1.666
Y 0.000 0.000 5.285
Ni 1.726 1.726 0.000
Pd 1.726 1.726 3.475
```